# YMg2AlAu2

A relaxed structure of YMg2AlAu2 (PBE-GGA, Alexandria).

Results
Formation enthalpy at 0 K ... -0.255 eV/atom
Spin magnetization ... 0.0 μB/f.u.

Cell: 5.2394 5.2394 6.5578 Å, 113.55 113.55 90.00°
With the nearest neighbours (Å) after each atom.
Fractional coordinates of all 6 atoms:
Mg1 0.7500 0.2500 0.5000  4 Au 2.63
Mg2 0.2500 0.7500 0.5000  4 Au 2.63
Au1 0.7731 0.7731 0.5461  1 Al 2.46, 4 Mg 2.63
Au2 0.2269 0.2269 0.4539  1 Al 2.46, 4 Mg 2.63
Al1 0.0000 0.0000 0.0000  2 Au 2.46
Y1 0.5000 0.5000 0.0000  2 Au 2.96